(1)
Ge2PdAuS: relaxed, PBE.

The total DFT energy (no corrections) is -18.6 eV/cell. Its raw formation energy is 0.645 eV/atom. The magnetization is 0.0 μB/f.u. The density of states at the Fermi level comes out at 0.665 states/eV per atom.

It has space group P4/mmm (No. 123), with a = 4.936 Å, b = 4.936 Å, c = 4.601 Å, α = 90.00°, β = 90.00° and γ = 90.00°. Symmetry generates all atoms from Ge at (0.000, 0.500, 0.000), Pd at (0.000, 0.000, 0.500), Au at (0.500, 0.500, 0.500) and S at (0.500, 0.500, 0.000).

---

(2)
RbSr2ScBe: relaxed, PBE.

The total DFT energy (no corrections) is -7.5 eV/cell. The magnetization is 1.2 μB/f.u. The density of states at the Fermi level comes out at 1.120 states/eV per atom.

It has space group P4/mmm (No. 123), with a = 6.302 Å, b = 6.302 Å, c = 4.946 Å, α = 90.00°, β = 90.00° and γ = 90.00°. Symmetry generates all atoms from Rb at (0.000, 0.000, 0.000), Sr at (0.000, 0.500, 0.000), Sc at (0.500, 0.500, 0.500) and Be at (0.000, 0.000, 0.500).